# 1
14
Lattice="-0.395 -6.419 -2.158 7.275 0.331 -2.318 -0.933 -2.592 7.881" Properties=species:S:1:pos:R:3 comment="Pr4NdNi2 (PBE, optimized geometry)" dos_ef_per_ev_cell=18.0 m_tot_mub_per_cell=0.0 crystal_system=monoclinic volume_a3_per_cell=396 spacegroup=P2_1/m delta_e_f_ev_per_atom=-0.060 total_energy_ev_per_atom=-5.12 pbc="T T T"
Pr 2.066 -5.139 4.017
Pr 1.454 -2.447 1.681
Pr 4.493 -6.233 1.725
Pr 1.877 -8.210 2.985
Pr -0.491 -5.789 1.316
Pr 4.069 -0.469 0.421
Pr 3.880 -3.540 -0.611
Pr 6.437 -2.891 2.090
Nd 5.259 -3.845 5.143
Nd 0.688 -4.835 -1.737
Ni 0.828 -4.102 6.720
Ni 5.119 -4.578 -3.314
Ni 2.064 -5.702 0.589
Ni 3.883 -2.978 2.817



# 2
4
Lattice="1.931 1.115 5.674 5.125 2.100 2.546 1.596 4.945 3.188" Properties=species:S:1:pos:R:3 comment="NaS2O (PBE, optimized geometry)" dos_ef_per_ev_cell=2.8 m_tot_mub_per_cell=0.0 crystal_system=trigonal volume_a3_per_cell=100 spacegroup=R-3m formation_energy_uncorrected_ev_per_atom=-0.10 total_energy_ev_per_atom=-3.74 pbc="T T T"
Na 4.326 4.080 5.704
S 7.793 7.350 10.276
S 0.859 0.810 1.132
O 0.000 0.000 0.000



# 3
10
Lattice="-0.006 -0.071 3.523 3.581 -8.003 1.610 8.664 1.076 1.802" Properties=species:S:1:pos:R:3 comment="Ca3AlH (PBE, optimized geometry)" dos_ef_per_ev_cell=7.9 m_tot_mub_per_cell=0.0 crystal_system=orthorhombic volume_a3_per_cell=257 spacegroup=Immm total_energy_ev_per_atom=-2.80 e_above_lowest_polymorph_ev_per_fu=0.236 pbc="T T T"
Ca 1.955 -1.169 3.504
Ca 10.284 -5.830 3.431
Ca 3.699 -4.078 1.687
Ca 6.860 -5.922 5.185
Ca 8.540 -2.920 5.248
Ca 5.379 -1.076 1.751
Al 7.962 -0.207 3.537
Al 4.276 -6.791 3.398
H 4.061 -2.347 3.484
H 8.177 -4.651 3.451



# 4
4
Lattice="5.384 0.000 0.000 2.692 4.662 0.000 2.692 1.554 4.395" Properties=species:S:1:pos:R:3 comment="PmYIn2 (PBE, optimized geometry)" dos_ef_per_ev_cell=1.8 m_tot_mub_per_cell=0.0 crystal_system=cubic volume_a3_per_cell=110 spacegroup=Fm-3m delta_e_f_ev_per_atom=-0.499 total_energy_ev_per_atom=-4.67 pbc="T T T"
Y 8.076 4.662 3.296
In 0.000 0.000 0.000
In 5.384 3.108 2.198
Pm 2.692 1.554 1.099